Density functional theory data (PBE) for PrAsSe after structural relaxation.

a b c (Å): 4.0412 4.0412 9.1334
angles (deg): 90.00 90.00 90.00
Closest atoms and distances in Å follow each position.
Space group P4/nmm (No. 129, origin choice 2)
One atom of each set of equivalent atoms:
1 Pr 0.2500 0.2500 0.2227 [2 per cell]  5 Se 2.99-3.17, 4 As 3.24
2 As 0.2500 0.7500 0.5000 [2 per cell]  4 As 2.86
3 Se 0.2500 0.2500 0.8752 [2 per cell]  5 Pr 2.99-3.17

E_form (uncorrected): -1.43 eV per atom
VASP energy: -5.73 eV per atom


Density functional theory data (PBE) for Pr3As2Se after structural relaxation.

a b c (Å): 4.2980 6.0800 12.8792
angles (deg): 90.00 90.00 90.00
Closest atoms and distances in Å follow each position.
Space group Immm (No. 71)
One atom of each set of equivalent atoms:
1 Pr 0.0000 0.0000 0.0000 [2 per cell]  4 As 3.03, 2 Se 3.04
2 Pr 0.0000 0.0000 0.3284 [4 per cell]  4 As 3.00-3.04, 2 Se 3.08
3 As 0.0000 0.5000 0.3342 [4 per cell]  6 Pr 3.00-3.04
4 Se 0.0000 0.5000 0.0000 [2 per cell]  6 Pr 3.04-3.08

E_form (uncorrected): -1.67 eV per atom
VASP energy: -6.19 eV per atom


Which of these has the highest VASP energy? PrAsSe


Which of these has the highest E_form (uncorrected)? PrAsSe